Entry 1:
A plane-wave DFT calculation with GGA-PBE was carried out for a geometry-optimized Sm2PtRh structure.

Calculated values
For the magnetization, the calculation gives 0.00 μB/f.u.

a b c (Å): 5.7379 4.4303 7.6752
angles (deg): 90.00 109.72 90.00
Sites, in units of the cell vectors:
Sm 0.2205 0.2500 0.4317
Sm 0.2227 0.2500 0.9285
Sm 0.7773 0.7500 0.0715
Sm 0.7795 0.7500 0.5683
Pt 0.3291 0.7500 0.2067
Pt 0.6709 0.2500 0.7933
Rh 0.3217 0.7500 0.7065
Rh 0.6783 0.2500 0.2935


Entry 2:
A plane-wave DFT calculation with GGA-PBE was carried out for a geometry-optimized Sm8Pt2Rh3 structure.

Calculated values
For the magnetization, the calculation gives 0.00 μB/f.u.

a b c (Å): 8.5686 4.9434 8.5752
angles (deg): 90.00 109.26 90.00
Sites, in units of the cell vectors:
Sm 0.1229 0.0000 0.3757
Sm 0.1256 0.5000 0.8716
Sm 0.3710 0.5000 0.6243
Sm 0.3771 0.0000 0.1237
Sm 0.6229 0.0000 0.8763
Sm 0.6290 0.5000 0.3757
Sm 0.8744 0.5000 0.1284
Sm 0.8771 0.0000 0.6243
Pt 0.2519 0.5000 0.2475
Pt 0.7481 0.5000 0.7525
Rh 0.0000 0.5000 0.5000
Rh 0.2507 0.0000 0.7503
Rh 0.7493 0.0000 0.2497


Entry 3:
A plane-wave DFT calculation with GGA-PBE was carried out for a geometry-optimized Sm8PtRh2 structure.

Calculated values
For the magnetization, the calculation gives 0.00 μB/f.u.

a b c (Å): 7.6334 7.6334 6.2929
angles (deg): 100.66 100.66 113.28
Sites, in units of the cell vectors:
Sm 0.0000 0.0000 0.0000
Sm 0.0105 0.2754 0.5704
Sm 0.1452 0.5635 0.1844
Sm 0.2754 0.0105 0.5704
Sm 0.4382 0.7025 0.7896
Sm 0.5635 0.1452 0.1844
Sm 0.7025 0.4382 0.7896
Sm 0.7166 0.7166 0.3731
Pt 0.3603 0.3603 0.3755
Rh 0.0457 0.6715 0.6879
Rh 0.6715 0.0457 0.6879


Entry 4:
A plane-wave DFT calculation with GGA-PBE was carried out for a geometry-optimized Sm4PtRh structure.

Calculated values
For the distance to the lowest polymorph of the same formula, the calculation gives 0 meV/atom. For the magnetization, the calculation gives 0.00 μB/f.u.

a b c (Å): 6.9864 6.9864 6.5337
angles (deg): 90.00 90.00 90.00
Sites, in units of the cell vectors:
Sm 0.1811 0.3150 0.0000
Sm 0.1811 0.6850 0.5000
Sm 0.3150 0.1811 0.5000
Sm 0.3150 0.8189 0.0000
Sm 0.6850 0.1811 0.0000
Sm 0.6850 0.8189 0.5000
Sm 0.8189 0.3150 0.5000
Sm 0.8189 0.6850 0.0000
Pt 0.5000 0.5000 0.2500
Pt 0.5000 0.5000 0.7500
Rh 0.0000 0.0000 0.2500
Rh 0.0000 0.0000 0.7500


Taking the records one at a time from the top gives formation energy from the elements values of -971 -702 -436 -651 meV per atom.
Taking the records one at a time from the top gives DOS(E_F) values of 4.99 12.93 10.94 13.97 states/eV per cell.